! NaTlCo3 GGA-PBE relaxed; values from VASP
! distance to the lowest polymorph of the same formula: 0 meV per atom
! V: 24.2 A^3/atom
! space-group type: Pm-3m (221)
! ΔH_f (0 K): 1.48 eV per atom
! E_tot: -3.53 eV/atom
&SYSTEM
  ibrav = 0, nat = 5, ntyp = 3
/
ATOMIC_SPECIES
Co 58.93 Co.upf
Tl 204.38 Tl.upf
Na 22.99 Na.upf
ATOMIC_POSITIONS crystal
Co 0.000 0.000 0.500
Co 0.500 0.000 0.000
Co 0.000 0.500 0.000
Tl 0.000 0.000 0.000
Na 0.500 0.500 0.500
CELL_PARAMETERS angstrom
4.943 0.000 0.000
0.000 4.943 0.000
0.000 0.000 4.943